[1]
{
  "formula": "YNiOF2",
  "functional": "PBE with a Hubbard U",
  "state": "relaxed",
  "cell": [[4.3481, 0.0000, 0.0000], [0.0000, 4.3481, 0.0000], [0.0000, 0.0000, 4.4219]],
  "species": ["Y", "Ni", "O", "F", "F"],
  "fractional_positions": [[0.0000, 0.0000, 0.0000], [0.5000, 0.5000, 0.5000], [0.0000, 0.0000, 0.5000], [0.0000, 0.5000, 0.0000], [0.5000, 0.0000, 0.0000]],
  "e_above_lowest_polymorph_kj_per_mol_atoms": 0.0,
  "total_magnetization_mub_per_fu": 1.00
}

---

[2]
{
  "formula": "YNiOF2",
  "functional": "PBE with a Hubbard U",
  "state": "relaxed",
  "cell": [[3.9248, 0.0000, 0.0000], [0.0000, 3.9248, 0.0000], [0.0000, 0.0000, 4.0490]],
  "species": ["Y", "Ni", "O", "F", "F"],
  "fractional_positions": [[0.0000, 0.0000, 0.0000], [0.5000, 0.5000, 0.5000], [0.5000, 0.5000, 0.0000], [0.0000, 0.5000, 0.5000], [0.5000, 0.0000, 0.5000]],
  "e_above_lowest_polymorph_kj_per_mol_atoms": 24.4,
  "total_magnetization_mub_per_fu": 1.44
}

---

[3]
{
  "formula": "ZnNiO2F",
  "functional": "PBE with a Hubbard U",
  "state": "relaxed",
  "cell": [[3.7805, 0.0000, 0.0000], [0.0000, 3.7805, 0.0000], [0.0000, 0.0000, 3.7822]],
  "species": ["Zn", "Ni", "O", "O", "F"],
  "fractional_positions": [[0.0000, 0.0000, 0.0000], [0.5000, 0.5000, 0.5000], [0.0000, 0.5000, 0.5000], [0.5000, 0.0000, 0.5000], [0.5000, 0.5000, 0.0000]],
  "energy_ev_per_atom": -3.869,
  "total_magnetization_mub_per_fu": 1.00
}

---

[4]
{
  "formula": "ZnNiO2F",
  "functional": "PBE with a Hubbard U",
  "state": "relaxed",
  "cell": [[3.8375, 0.0000, 0.0000], [0.0000, 3.8375, 0.0000], [0.0000, 0.0000, 3.8931]],
  "species": ["Zn", "Ni", "O", "O", "F"],
  "fractional_positions": [[0.0000, 0.0000, 0.0000], [0.5000, 0.5000, 0.5000], [0.0000, 0.5000, 0.0000], [0.5000, 0.0000, 0.0000], [0.0000, 0.0000, 0.5000]],
  "energy_ev_per_atom": -3.622,
  "total_magnetization_mub_per_fu": 2.37
}

---

[5]
{
  "formula": "ZrNiO2F",
  "functional": "PBE with a Hubbard U",
  "state": "relaxed",
  "cell": [[3.8952, 0.0000, 0.0000], [0.0000, 3.8952, 0.0000], [0.0000, 0.0000, 3.6680]],
  "species": ["Zr", "Ni", "O", "O", "F"],
  "fractional_positions": [[0.0000, 0.0000, 0.0000], [0.5000, 0.5000, 0.5000], [0.0000, 0.5000, 0.5000], [0.5000, 0.0000, 0.5000], [0.5000, 0.5000, 0.0000]],
  "energy_ev_per_atom": -6.071,
  "total_magnetization_mub_per_fu": 1.35
}

---

[6]
{
  "formula": "ZrNiO2F",
  "functional": "PBE with a Hubbard U",
  "state": "relaxed",
  "cell": [[4.1358, 0.0000, 0.0000], [0.0000, 4.1358, 0.0000], [0.0000, 0.0000, 4.1939]],
  "species": ["Zr", "Ni", "O", "O", "F"],
  "fractional_positions": [[0.0000, 0.0000, 0.0000], [0.5000, 0.5000, 0.5000], [0.0000, 0.5000, 0.0000], [0.5000, 0.0000, 0.0000], [0.0000, 0.0000, 0.5000]],
  "energy_ev_per_atom": -6.413,
  "total_magnetization_mub_per_fu": 1.27
}

---

[7]
{
  "formula": "NiOs2F",
  "functional": "PBE with a Hubbard U",
  "state": "relaxed",
  "cell": [[-3.3076, 3.3076, 2.4048], [3.3076, -3.3076, 2.4048], [3.3076, 3.3076, -2.4048]],
  "species": ["Ni", "Ni", "Os", "Os", "Os", "Os", "F", "F"],
  "fractional_positions": [[0.0000, 0.0000, 0.0000], [0.7500, 0.2500, 0.5000], [0.1774, 0.6250, 0.0524], [0.3750, 0.4274, 0.5524], [0.5726, 0.1250, 0.9476], [0.8750, 0.8226, 0.4476], [0.2500, 0.7500, 0.5000], [0.5000, 0.5000, 0.0000]],
  "e_above_lowest_polymorph_kj_per_mol_atoms": 21.0,
  "total_magnetization_mub_per_fu": 0.00
}

---

[8]
{
  "formula": "NiOs3F",
  "functional": "PBE with a Hubbard U",
  "state": "relaxed",
  "cell": [[4.4743, 0.0000, 0.0000], [0.0000, 4.4743, 0.0000], [0.0000, 0.0000, 4.4743]],
  "species": ["Ni", "Os", "Os", "Os", "F"],
  "fractional_positions": [[0.0000, 0.0000, 0.0000], [0.0000, 0.0000, 0.5000], [0.0000, 0.5000, 0.0000], [0.5000, 0.0000, 0.0000], [0.5000, 0.5000, 0.5000]],
  "e_above_lowest_polymorph_kj_per_mol_atoms": 40.6,
  "total_magnetization_mub_per_fu": 6.78
}

---

[9]
{
  "formula": "NiOsF3",
  "functional": "PBE with a Hubbard U",
  "state": "relaxed",
  "cell": [[4.0484, 0.0000, 0.0000], [0.0000, 4.0484, 0.0000], [0.0000, 0.0000, 4.0484]],
  "species": ["Ni", "Os", "F", "F", "F"],
  "fractional_positions": [[0.0000, 0.0000, 0.0000], [0.5000, 0.5000, 0.5000], [0.0000, 0.0000, 0.5000], [0.0000, 0.5000, 0.0000], [0.5000, 0.0000, 0.0000]],
  "energy_ev_per_atom": -4.219,
  "total_magnetization_mub_per_fu": 5.78
}

---

[10]
{
  "formula": "NiOs2F",
  "functional": "PBE with a Hubbard U",
  "state": "relaxed",
  "cell": [[0.0000, 2.8991, 2.8991], [2.8991, 0.0000, 2.8991], [2.8991, 2.8991, 0.0000]],
  "species": ["Ni", "Os", "Os", "F"],
  "fractional_positions": [[0.0000, 0.0000, 0.0000], [0.2500, 0.2500, 0.2500], [0.7500, 0.7500, 0.7500], [0.5000, 0.5000, 0.5000]],
  "e_above_lowest_polymorph_kj_per_mol_atoms": 0.0,
  "total_magnetization_mub_per_fu": 0.00
}

---

[11]
{
  "formula": "Ni2OsF",
  "functional": "PBE with a Hubbard U",
  "state": "relaxed",
  "cell": [[-2.9989, 2.9989, 3.0725], [2.9989, -2.9989, 3.0725], [2.9989, 2.9989, -3.0725]],
  "species": ["Ni", "Ni", "Ni", "Ni", "Os", "Os", "F", "F"],
  "fractional_positions": [[0.0671, 0.6250, 0.9421], [0.3750, 0.3171, 0.4421], [0.6829, 0.1250, 0.0579], [0.8750, 0.9329, 0.5579], [0.2500, 0.7500, 0.5000], [0.5000, 0.5000, 0.0000], [0.0000, 0.0000, 0.0000], [0.7500, 0.2500, 0.5000]],
  "e_above_lowest_polymorph_kj_per_mol_atoms": 0.0,
  "total_magnetization_mub_per_fu": 4.30
}

---

[12]
{
  "formula": "NiOsF2",
  "functional": "PBE with a Hubbard U",
  "state": "relaxed",
  "cell": [[1.3215, 0.7629, 7.8681], [-1.3215, 0.7629, 7.8681], [0.0000, -1.5259, 7.8681]],
  "species": ["Ni", "Os", "F", "F"],
  "fractional_positions": [[0.0000, 0.0000, 0.0000], [0.5000, 0.5000, 0.5000], [0.0815, 0.0815, 0.0815], [0.9185, 0.9185, 0.9185]],
  "e_above_lowest_polymorph_kj_per_mol_atoms": 0.0,
  "total_magnetization_mub_per_fu": 1.45
}